Record 1
# BaSi3Pd

An optimized crystal structure of BaSi3Pd (PBE, the Alexandria database).

The volume comes out at 404 Å³ per cell. The raw formation energy is -477 meV/atom.

```
data_BaSi3Pd
_cell_length_a 6.2565
_cell_length_b 6.2668
_cell_length_c 10.2998
_cell_angle_alpha 90.00
_cell_angle_beta 90.00
_cell_angle_gamma 90.00
_space_group_name_H-M_alt 'F m m 2'
_space_group_IT_number 42
_space_group_name_Hall 'F 2 -2'
loop_
_atom_site_label
_atom_site_type_symbol
_atom_site_fract_x
_atom_site_fract_y
_atom_site_fract_z
_atom_site_occupancy
Ba1 Ba 0.0000 0.0000 0.0000 1
Si1 Si 0.0000 0.0000 0.6110 1
Si2 Si 0.2500 0.2500 0.2467 1
Pd1 Pd 0.0000 0.0000 0.3541 1
```

Record 2
# Dy4B5C2

An optimized crystal structure of Dy4B5C2 (PBE, the Alexandria database).

The volume comes out at 156 Å³ per cell. The calculation puts the final energy at -72.8 eV/cell.

```
data_Dy4B5C2
_cell_length_a 6.5773
_cell_length_b 3.6147
_cell_length_c 6.5895
_cell_angle_alpha 90.00
_cell_angle_beta 95.27
_cell_angle_gamma 90.00
_space_group_name_H-M_alt 'P 1 2/m 1'
_space_group_IT_number 10
loop_
_space_group_symop_operation_xyz
'x,y,z'
'-x,-y,-z'
'-x,y,-z'
'x,-y,z'
loop_
_atom_site_label
_atom_site_type_symbol
_atom_site_fract_x
_atom_site_fract_y
_atom_site_fract_z
_atom_site_occupancy
Dy1 Dy 0.2254 0.0000 0.3952 1
Dy2 Dy 0.2363 0.0000 0.9242 1
B1 B 0.0981 0.5000 0.6892 1
B2 B 0.3515 0.5000 0.6717 1
B3 B 0.5000 0.5000 0.5000 1
C1 C 0.0367 0.5000 0.1177 1
```

Record 3
# Tb2BrO

An optimized crystal structure of Tb2BrO (PBE, the Alexandria database).

The volume comes out at 243 Å³ per cell. The raw formation energy is -1800 meV/atom.

```
data_Tb2BrO
_cell_length_a 3.6068
_cell_length_b 3.6068
_cell_length_c 21.5402
_cell_angle_alpha 90.00
_cell_angle_beta 90.00
_cell_angle_gamma 120.00
_space_group_name_H-M_alt 'R -3 m'
_space_group_IT_number 166
_space_group_name_Hall '-R 3 2"'
loop_
_atom_site_label
_atom_site_type_symbol
_atom_site_fract_x
_atom_site_fract_y
_atom_site_fract_z
_atom_site_occupancy
Tb1 Tb 0.0000 0.0000 0.2253 1
Br1 Br 0.0000 0.0000 0.0000 1
O1 O 0.0000 0.0000 0.5000 1
```

Record 4
# TiBe2H

An optimized crystal structure of TiBe2H (PBE, the Alexandria database).

The volume comes out at 161 Å³ per cell. The calculation puts the distance to the lowest polymorph of the same formula at 648 meV/atom.

```
data_TiBe2H
_cell_length_a 5.4394
_cell_length_b 5.4394
_cell_length_c 5.4394
_cell_angle_alpha 90.00
_cell_angle_beta 90.00
_cell_angle_gamma 90.00
_space_group_name_H-M_alt 'F m -3 m'
_space_group_IT_number 225
_space_group_name_Hall '-F 4 2 3'
loop_
_atom_site_label
_atom_site_type_symbol
_atom_site_fract_x
_atom_site_fract_y
_atom_site_fract_z
_atom_site_occupancy
Ti1 Ti 0.0000 0.0000 0.0000 1
Be1 Be 0.2500 0.2500 0.2500 1
H1 H 0.0000 0.0000 0.5000 1
```

Record 5
# BW2I

An optimized crystal structure of BW2I (PBE, the Alexandria database).

The volume comes out at 313 Å³ per cell. The raw formation energy is 1212 meV/atom. The calculation puts the distance to the lowest polymorph of the same formula at 0 meV/atom.

```
data_BW2I
_cell_length_a 4.7873
_cell_length_b 4.7873
_cell_length_c 13.6541
_cell_angle_alpha 90.00
_cell_angle_beta 90.00
_cell_angle_gamma 90.00
_space_group_name_H-M_alt 'I -4 2 d'
_space_group_IT_number 122
_space_group_name_Hall 'I -4 2bw'
loop_
_atom_site_label
_atom_site_type_symbol
_atom_site_fract_x
_atom_site_fract_y
_atom_site_fract_z
_atom_site_occupancy
B1 B 0.0000 0.0000 0.0000 1
W1 W 0.1320 0.2500 0.1250 1
I1 I 0.0000 0.0000 0.5000 1
```

Record 6
# Mg3MoSe

An optimized crystal structure of Mg3MoSe (PBE, the Alexandria database).

The volume comes out at 125 Å³ per cell. The raw formation energy is 650 meV/atom. The calculation puts the distance to the lowest polymorph of the same formula at 0 meV/atom.

```
data_Mg3MoSe
_cell_length_a 4.9961
_cell_length_b 4.9961
_cell_length_c 4.9961
_cell_angle_alpha 90.00
_cell_angle_beta 90.00
_cell_angle_gamma 90.00
_space_group_name_H-M_alt 'P m -3 m'
_space_group_IT_number 221
_space_group_name_Hall '-P 4 2 3'
loop_
_atom_site_label
_atom_site_type_symbol
_atom_site_fract_x
_atom_site_fract_y
_atom_site_fract_z
_atom_site_occupancy
Mg1 Mg 0.0000 0.0000 0.5000 1
Mo1 Mo 0.5000 0.5000 0.5000 1
Se1 Se 0.0000 0.0000 0.0000 1
```

Record 7
# Re4IrPt

An optimized crystal structure of Re4IrPt (PBE, the Alexandria database).

The volume comes out at 382 Å³ per cell. The calculation puts the final energy at -247.5 eV/cell.

```
data_Re4IrPt
_cell_length_a 7.2565
_cell_length_b 7.2565
_cell_length_c 7.2565
_cell_angle_alpha 90.00
_cell_angle_beta 90.00
_cell_angle_gamma 90.00
_space_group_name_H-M_alt 'F -4 3 m'
_space_group_IT_number 216
_space_group_name_Hall 'F -4 2 3'
loop_
_atom_site_label
_atom_site_type_symbol
_atom_site_fract_x
_atom_site_fract_y
_atom_site_fract_z
_atom_site_occupancy
Re1 Re 0.1245 0.1245 0.1245 1
Ir1 Ir 0.0000 0.0000 0.5000 1
Pt1 Pt 0.2500 0.2500 0.7500 1
```

Record 8
# CoPb

An optimized crystal structure of CoPb (PBE, the Alexandria database).

The volume comes out at 114 Å³ per cell. The calculation puts the final energy at -28.7 eV/cell.

```
data_CoPb
_cell_length_a 3.3234
_cell_length_b 3.3234
_cell_length_c 11.8879
_cell_angle_alpha 90.00
_cell_angle_beta 90.00
_cell_angle_gamma 120.00
_space_group_name_H-M_alt 'R -3 m'
_space_group_IT_number 166
_space_group_name_Hall '-R 3 2"'
loop_
_atom_site_label
_atom_site_type_symbol
_atom_site_fract_x
_atom_site_fract_y
_atom_site_fract_z
_atom_site_occupancy
Co1 Co 0.0000 0.0000 0.0000 1
Pb1 Pb 0.0000 0.0000 0.5000 1
```

Record 9
# CeTm7Sc3

An optimized crystal structure of CeTm7Sc3 (PBE, the Alexandria database).

The volume comes out at 333 Å³ per cell. The calculation puts the final energy at -53.7 eV/cell.

```
data_CeTm7Sc3
_cell_length_a 6.8472
_cell_length_b 6.8472
_cell_length_c 8.1906
_cell_angle_alpha 90.00
_cell_angle_beta 90.00
_cell_angle_gamma 120.00
_space_group_name_H-M_alt 'P 3 m 1'
_space_group_IT_number 156
loop_
_space_group_symop_operation_xyz
'x,y,z'
'-y,x-y,z'
'-x+y,-x,z'
'-y,-x,z'
'-x+y,y,z'
'x,x-y,z'
loop_
_atom_site_label
_atom_site_type_symbol
_atom_site_fract_x
_atom_site_fract_y
_atom_site_fract_z
_atom_site_occupancy
Ce1 Ce 0.0000 0.0000 0.0000 1
Tm1 Tm 0.1644 0.3288 0.3401 1
Tm2 Tm 0.5008 0.0016 0.9936 1
Tm3 Tm 0.6667 0.3333 0.3414 1
Sc1 Sc 0.3291 0.1645 0.6701 1
```

Record 10
# Th12InFe6

An optimized crystal structure of Th12InFe6 (PBE, the Alexandria database).

The volume comes out at 971 Å³ per cell. The calculation puts the final energy at -287.7 eV/cell.

```
data_Th12InFe6
_cell_length_a 9.9029
_cell_length_b 9.9029
_cell_length_c 9.9029
_cell_angle_alpha 90.00
_cell_angle_beta 90.00
_cell_angle_gamma 90.00
_space_group_name_H-M_alt 'I m -3'
_space_group_IT_number 204
_space_group_name_Hall '-I 2 2 3'
loop_
_atom_site_label
_atom_site_type_symbol
_atom_site_fract_x
_atom_site_fract_y
_atom_site_fract_z
_atom_site_occupancy
Th1 Th 0.0000 0.3153 0.1805 1
In1 In 0.0000 0.0000 0.0000 1
Fe1 Fe 0.0000 0.1390 0.5000 1
```

Record 11
# MgTl2Cl

An optimized crystal structure of MgTl2Cl (PBE, the Alexandria database).

The volume comes out at 218 Å³ per cell. The raw formation energy is -339 meV/atom. The calculation puts the distance to the lowest polymorph of the same formula at 189 meV/atom.

```
data_MgTl2Cl
_cell_length_a 7.8809
_cell_length_b 7.9294
_cell_length_c 3.4843
_cell_angle_alpha 90.00
_cell_angle_beta 90.00
_cell_angle_gamma 90.00
_space_group_name_H-M_alt 'C m m m'
_space_group_IT_number 65
_space_group_name_Hall '-C 2 2'
loop_
_atom_site_label
_atom_site_type_symbol
_atom_site_fract_x
_atom_site_fract_y
_atom_site_fract_z
_atom_site_occupancy
Mg1 Mg 0.0000 0.0000 0.0000 1
Tl1 Tl 0.2500 0.2500 0.5000 1
Cl1 Cl 0.0000 0.5000 0.0000 1
```

Record 12
# Pm3Th2Pb4

An optimized crystal structure of Pm3Th2Pb4 (PBE, the Alexandria database).

The volume comes out at 549 Å³ per cell. The calculation puts the final energy at -94.0 eV/cell.

```
data_Pm3Th2Pb4
_cell_length_a 10.5230
_cell_length_b 4.8353
_cell_length_c 10.9716
_cell_angle_alpha 90.00
_cell_angle_beta 100.45
_cell_angle_gamma 90.00
_space_group_name_H-M_alt 'C 1 2/m 1'
_space_group_IT_number 12
loop_
_space_group_symop_operation_xyz
'x,y,z'
'-x,-y,-z'
'-x,y,-z'
'x,-y,z'
'x+1/2,y+1/2,z'
'-x+1/2,-y+1/2,-z'
'-x+1/2,y+1/2,-z'
'x+1/2,-y+1/2,z'
loop_
_atom_site_label
_atom_site_type_symbol
_atom_site_fract_x
_atom_site_fract_y
_atom_site_fract_z
_atom_site_occupancy
Pm1 Pm 0.0000 0.0000 0.0000 1
Pm2 Pm 0.1544 0.5000 0.5664 1
Th1 Th 0.1697 0.5000 0.2176 1
Pb1 Pb 0.0172 0.0000 0.3391 1
Pb2 Pb 0.1657 0.5000 0.8937 1
```